1.
Entry from the Alexandria database: a geometry-optimized TmB2C2 structure (PBE-GGA).

Computed properties:
Crystal system: tetragonal
ΔH_f (0 K), eV/atom: -0.295

Cell: 3.7823 3.7823 7.0423 Å, 90.00 90.00 90.00°
Last column: nearest neighbours and their distance in Å.
Fractional positions:
B  0.5000  0.2149  0.5000  2 C 1.60, 1 B 1.63
B  0.5000  0.7851  0.5000  2 C 1.60, 1 B 1.63
B  0.7851  0.5000  0.0000  2 C 1.60, 1 B 1.63
B  0.2149  0.5000  0.0000  2 C 1.60, 1 B 1.63
Tm  0.0000  0.0000  0.2500  8 C 2.68, 8 B 2.71
Tm  0.0000  0.0000  0.7500  8 C 2.68, 8 B 2.71
C  0.1878  0.5000  0.5000  1 C 1.42
C  0.5000  0.1878  0.0000  1 C 1.42
C  0.8122  0.5000  0.5000  1 C 1.42
C  0.5000  0.8122  0.0000  1 C 1.42

2.
Entry from the Alexandria database: a geometry-optimized TmBC2 structure (PBE-GGA).

Computed properties:
Crystal system: orthorhombic
ΔH_f (0 K), eV/atom: -0.058

Cell: 2.8207 4.7867 7.2776 Å, 109.20 90.00 90.00°
Last column: nearest neighbours and their distance in Å.
Fractional positions:
C  0.7500  0.4736  0.9472  1 B 1.55, 2 C 1.59
C  0.2500  0.3053  0.6106  2 B 1.60
C  0.2500  0.5264  0.0528  1 B 1.55, 2 C 1.59
C  0.7500  0.6947  0.3894  2 B 1.60
Tm  0.7500  0.1722  0.3443  4 C 2.31-2.41
Tm  0.2500  0.8278  0.6557  4 C 2.31-2.41
B  0.7500  0.3608  0.7216  3 C 1.55-1.60
B  0.2500  0.6392  0.2784  3 C 1.55-1.60

3.
Entry from the Alexandria database: a geometry-optimized U2BC structure (PBE-GGA).

Computed properties:
Distance to the lowest polymorph of the same formula, meV per atom: 0
Crystal system: orthorhombic
ΔH_f (0 K), eV/atom: 0.149

Cell: 6.5317 6.5296 5.3986 Å, 90.00 90.00 90.00°
Last column: nearest neighbours and their distance in Å.
Fractional positions:
U  0.7500  0.2500  0.8795  2 B 2.40, 2 U 2.62, 2 C 2.64
U  0.7500  0.7500  0.8795  2 B 2.40, 2 U 2.62, 2 C 2.64
U  0.2500  0.7500  0.1205  2 B 2.40, 2 U 2.62, 2 C 2.64
U  0.6805  0.5000  0.2492  2 B 2.60-2.67, 2 U 2.62, 4 C 2.62-2.83
U  0.1805  0.0000  0.7508  2 B 2.60-2.67, 2 U 2.62, 4 C 2.62-2.83
U  0.2500  0.2500  0.1205  2 B 2.40, 2 U 2.62, 2 C 2.64
U  0.8195  0.0000  0.2492  2 B 2.60-2.67, 2 U 2.62, 4 C 2.62-2.83
U  0.3195  0.5000  0.7508  2 B 2.60-2.67, 2 U 2.62, 4 C 2.62-2.83
B  0.4234  0.0000  0.3703  2 C 1.60, 1 B 1.72
B  0.9234  0.5000  0.6297  2 C 1.60, 1 B 1.72
B  0.0766  0.5000  0.3703  2 C 1.60, 1 B 1.72
B  0.5766  0.0000  0.6297  2 C 1.60, 1 B 1.72
C  0.5000  0.7932  0.5000  2 B 1.60
C  0.5000  0.2068  0.5000  2 B 1.60
C  0.0000  0.2932  0.5000  2 B 1.60
C  0.0000  0.7068  0.5000  2 B 1.60

4.
Entry from the Alexandria database: a geometry-optimized UBC2 structure (PBE-GGA).

Computed properties:
Distance to the lowest polymorph of the same formula, meV per atom: 269
Crystal system: trigonal
ΔH_f (0 K), eV/atom: 0.202

Cell: 3.7473 3.7473 5.2758 Å, 69.20 69.20 60.00°
Last column: nearest neighbours and their distance in Å.
Fractional positions:
C  0.9001  0.9001  0.2998  1 B 1.44
C  0.0999  0.0999  0.7002  1 B 1.44
U  0.5000  0.5000  0.5000  6 C 2.37
B  0.0000  0.0000  0.0000  2 C 1.44

5.
Entry from the Alexandria database: a geometry-optimized U2B3C structure (PBE-GGA).

Computed properties:
Crystal system: orthorhombic
ΔH_f (0 K), eV/atom: -0.476

Cell: 4.0911 2.9979 5.1896 Å, 90.00 90.00 90.00°
Last column: nearest neighbours and their distance in Å.
Fractional positions:
B  0.5000  0.0000  0.8322  3 B 1.75-1.78
B  0.5000  0.0000  0.1746  2 C 1.72, 1 B 1.78
B  0.5000  0.5000  0.6572  1 C 1.67, 2 B 1.75
U  0.0000  0.5000  0.9987  10 B 2.68-2.71, 2 C 2.69, 4 U 2.98-3.00
U  0.0000  0.0000  0.5016  8 B 2.66-2.67, 4 C 2.68
C  0.5000  0.5000  0.3357  3 B 1.67-1.72

6.
Entry from the Alexandria database: a geometry-optimized UBC2 structure (PBE-GGA).

Computed properties:
Distance to the lowest polymorph of the same formula, meV per atom: 0
Crystal system: monoclinic
ΔH_f (0 K), eV/atom: -0.067

Cell: 4.9304 5.6654 6.8034 Å, 114.35 90.00 90.00°
Last column: nearest neighbours and their distance in Å.
Fractional positions:
U  0.7500  0.2086  0.4336  6 C 2.31-2.57
U  0.2500  0.2914  0.0664  6 C 2.31-2.57
U  0.2500  0.7914  0.5664  6 C 2.31-2.57
U  0.7500  0.7086  0.9336  6 C 2.31-2.57
B  0.7500  0.1828  0.8532  3 C 1.54-1.59
B  0.2500  0.8172  0.1468  3 C 1.54-1.59
B  0.2500  0.3172  0.6468  3 C 1.54-1.59
B  0.7500  0.6828  0.3532  3 C 1.54-1.59
C  0.5000  0.2499  0.7500  2 B 1.54
C  0.2500  0.3269  0.4164  1 B 1.59
C  0.5000  0.7501  0.2500  2 B 1.54
C  0.7500  0.6731  0.5836  1 B 1.59
C  0.2500  0.8269  0.9164  1 B 1.59
C  0.0000  0.7499  0.2500  2 B 1.54
C  0.0000  0.2501  0.7500  2 B 1.54
C  0.7500  0.1731  0.0836  1 B 1.59